Entry from OQMD via LeMat-Bulk: a relaxed SrScCuTeSe2 crystal (PBE).

Its total energy is -59.63 eV/cell. The value obtained for the size of the total moment is 0.0001 μB per atom.

Lattice parameters (Å, degrees): 7.338 7.338 10.626 90.00 90.00 148.14
Fractional positions:
Cu  0.471  0.529  0.250
Cu  0.529  0.471  0.750
Sc  0.000  0.000  0.000
Sc  0.000  0.000  0.500
Se  0.373  0.627  0.061
Se  0.373  0.627  0.439
Se  0.627  0.373  0.561
Se  0.627  0.373  0.939
Sr  0.777  0.223  0.250
Sr  0.223  0.777  0.750
Te  0.089  0.911  0.250
Te  0.911  0.089  0.750

Entry from OQMD via LeMat-Bulk: a relaxed Zr3FeP crystal (PBE).

The value obtained for the size of the total moment is 0.0790 μB per atom. For the polymorph energy (0 for the lowest one), the calculation gives 0 meV/atom.

Lattice parameters (Å, degrees): 6.098 6.098 9.451 90.00 90.00 146.66
Fractional positions:
Fe  0.252  0.748  0.250
Fe  0.748  0.252  0.750
P  0.500  0.500  0.000
P  0.500  0.500  0.500
Zr  0.851  0.149  0.075
Zr  0.587  0.413  0.250
Zr  0.851  0.149  0.425
Zr  0.149  0.851  0.575
Zr  0.413  0.587  0.750
Zr  0.149  0.851  0.925

Entry from OQMD via LeMat-Bulk: a relaxed DyYPO crystal (PBE).

The value obtained for the size of the total moment is 0.0004 μB per atom. For the polymorph energy (0 for the lowest one), the calculation gives 120 meV/atom.

Lattice parameters (Å, degrees): 4.318 4.318 8.557 90.00 90.00 90.00
Fractional positions:
Dy  0.000  0.000  0.500
Dy  0.500  0.500  0.500
O  0.000  0.000  0.000
O  0.500  0.500  0.000
P  0.500  0.000  0.303
P  0.000  0.500  0.697
Y  0.000  0.500  0.103
Y  0.500  0.000  0.897

Entry from OQMD via LeMat-Bulk: a relaxed Cd2GeO4 crystal (PBE).

For the polymorph energy (0 for the lowest one), the calculation gives 0 meV/atom.

Lattice parameters (Å, degrees): 6.603 5.230 11.155 90.00 90.00 90.00
Fractional positions:
Cd  0.000  0.000  0.000
Cd  0.500  0.000  0.000
Cd  0.250  0.485  0.219
Cd  0.750  0.985  0.281
Cd  0.000  0.500  0.500
Cd  0.500  0.500  0.500
Cd  0.250  0.015  0.719
Cd  0.750  0.515  0.781
Ge  0.750  0.432  0.099
Ge  0.250  0.932  0.401
Ge  0.750  0.068  0.599
Ge  0.250  0.568  0.901
O  0.250  0.710  0.048
O  0.750  0.767  0.097
O  0.538  0.276  0.167
O  0.962  0.276  0.167
O  0.038  0.776  0.333
O  0.462  0.776  0.333
O  0.250  0.267  0.403
O  0.750  0.210  0.452
O  0.250  0.790  0.548
O  0.750  0.733  0.597
O  0.538  0.224  0.667
O  0.962  0.224  0.667
O  0.038  0.724  0.833
O  0.462  0.724  0.833
O  0.250  0.233  0.903
O  0.750  0.290  0.952

Entry from OQMD via LeMat-Bulk: a relaxed Zr4AlTeC2 crystal (PBE).

Its total energy is -65.50 eV/cell. The value obtained for the size of the total moment is 0.0006 μB per atom.

Lattice parameters (Å, degrees): 3.435 3.435 13.990 90.00 90.00 120.00
Fractional positions:
Al  0.667  0.333  0.000
C  0.000  0.000  0.254
C  0.000  0.000  0.746
Te  0.333  0.667  0.500
Zr  0.333  0.667  0.166
Zr  0.667  0.333  0.342
Zr  0.667  0.333  0.658
Zr  0.333  0.667  0.834

Entry from OQMD via LeMat-Bulk: a relaxed Ta4InC3 crystal (PBE).

Its total energy is -163.94 eV/cell. The value obtained for the size of the total moment is 0.0002 μB per atom.

Lattice parameters (Å, degrees): 3.158 3.158 24.961 90.00 90.00 120.00
Fractional positions:
C  0.000  0.000  0.000
C  0.667  0.333  0.105
C  0.667  0.333  0.395
C  0.000  0.000  0.500
C  0.333  0.667  0.605
C  0.333  0.667  0.895
In  0.333  0.667  0.250
In  0.667  0.333  0.750
Ta  0.333  0.667  0.054
Ta  0.000  0.000  0.152
Ta  0.000  0.000  0.348
Ta  0.333  0.667  0.446
Ta  0.667  0.333  0.554
Ta  0.000  0.000  0.652
Ta  0.000  0.000  0.848
Ta  0.667  0.333  0.946

Entry from OQMD via LeMat-Bulk: a relaxed Tb2SmSi4Pd4 crystal (PBE).

Its total energy is -66.81 eV/cell. The value obtained for the size of the total moment is 0.0006 μB per atom.

Lattice parameters (Å, degrees): 8.002 8.002 8.002 149.94 128.19 61.07
Fractional positions:
Pd  0.378  0.176  0.202
Pd  0.026  0.824  0.202
Pd  0.974  0.176  0.798
Pd  0.622  0.824  0.798
Si  0.320  0.000  0.320
Si  0.781  0.281  0.500
Si  0.219  0.719  0.500
Si  0.680  0.000  0.680
Sm  0.000  0.500  0.500
Tb  0.375  0.375  0.000
Tb  0.625  0.625  0.000

Entry from OQMD via LeMat-Bulk: a relaxed HoSc3C2Se2 crystal (PBE).

Its total energy is -58.21 eV/cell. The value obtained for the size of the total moment is 0.0003 μB per atom.

Lattice parameters (Å, degrees): 3.568 3.568 12.559 90.00 90.00 120.00
Fractional positions:
C  0.667  0.333  0.503
C  0.667  0.333  0.992
Ho  0.000  0.000  0.098
Sc  0.000  0.000  0.407
Sc  0.333  0.667  0.598
Sc  0.333  0.667  0.895
Se  0.333  0.667  0.261
Se  0.000  0.000  0.747

Entry from OQMD via LeMat-Bulk: a relaxed BeNbCdIr crystal (PBE).

The value obtained for the size of the total moment is 0.0000 μB per atom. For the polymorph energy (0 for the lowest one), the calculation gives 49 meV/atom.

Lattice parameters (Å, degrees): 4.443 4.443 4.443 60.00 60.00 60.00
Fractional positions:
Be  0.750  0.750  0.750
Cd  0.500  0.500  0.500
Ir  0.000  0.000  0.000
Nb  0.250  0.250  0.250

Entry from OQMD via LeMat-Bulk: a relaxed PmTmSc crystal (PBE).

The value obtained for the size of the total moment is 0.0160 μB per atom. For the polymorph energy (0 for the lowest one), the calculation gives 0 meV/atom. For the energy of formation, the calculation gives 0.69 eV per atom.

Lattice parameters (Å, degrees): 5.254 5.254 5.254 60.00 60.00 60.00
Fractional positions:
Pm  0.250  0.250  0.250
Sc  0.000  0.000  0.000
Tm  0.750  0.750  0.750

Entry from OQMD via LeMat-Bulk: a relaxed NaLiTe3Mo crystal (PBE).

Its total energy is -51.50 eV/cell. The value obtained for the size of the total moment is 0.3360 μB per atom.

Lattice parameters (Å, degrees): 7.352 7.352 10.540 90.00 90.00 147.93
Fractional positions:
Li  0.033  0.967  0.250
Li  0.967  0.033  0.750
Mo  0.500  0.500  0.000
Mo  0.500  0.500  0.500
Na  0.738  0.262  0.250
Na  0.262  0.738  0.750
Te  0.135  0.865  0.040
Te  0.415  0.585  0.250
Te  0.135  0.865  0.460
Te  0.865  0.135  0.540
Te  0.585  0.415  0.750
Te  0.865  0.135  0.960

Entry from OQMD via LeMat-Bulk: a relaxed RbZr3Te5 crystal (PBE).

Its total energy is -50.53 eV/cell. The value obtained for the size of the total moment is 0.0013 μB per atom.

Lattice parameters (Å, degrees): 6.392 6.392 8.544 90.00 90.00 120.00
Fractional positions:
Rb  0.000  0.000  0.000
Te  0.667  0.333  0.235
Te  0.333  0.667  0.235
Te  0.000  0.000  0.500
Te  0.667  0.333  0.765
Te  0.333  0.667  0.765
Zr  0.500  0.000  0.500
Zr  0.000  0.500  0.500
Zr  0.500  0.500  0.500